Record 1
Here is an optimized crystal structure of CaMo3 from Alexandria via LeMat-Bulk. Energies are from PBEsol.

a = 5.542 Å, b = 5.542 Å, c = 2.615 Å
α = 90.00°, β = 90.00°, γ = 121.62°
Positions (direct):
1 Ca 0.000 0.000 0.000
2 Mo 0.000 0.500 0.500
3 Mo 0.500 0.000 0.500
4 Mo 0.500 0.500 0.000

Density of states at the Fermi level ... 3.54 states/eV/f.u.
Relative energy among the computed polymorphs ... 110 meV/atom
Formation energy from the elements ... 0.8082 eV per atom

=====

Record 2
Here is an optimized crystal structure of FeCu2Si from Alexandria via LeMat-Bulk. Energies are from PBEsol.

a = 2.852 Å, b = 2.852 Å, c = 5.416 Å
α = 90.00°, β = 90.00°, γ = 90.00°
Positions (direct):
1 Fe 0.000 0.000 0.000
2 Cu 0.000 0.000 0.473
3 Cu 0.500 0.500 0.724
4 Si 0.500 0.500 0.201

Density of states at the Fermi level ... 1.51 states/eV/f.u.
Energy relative to the elements, uncorrected ... -0.090 eV per atom

=====

Record 3
Here is an optimized crystal structure of K2ReSb from Alexandria via LeMat-Bulk. Energies are from PBEsol.

a = 4.532 Å, b = 3.500 Å, c = 5.777 Å
α = 90.00°, β = 90.17°, γ = 90.00°
Positions (direct):
1 K 0.000 0.000 0.000
2 K 0.500 0.500 0.000
3 Re 0.000 0.500 0.500
4 Sb 0.500 0.000 0.500

Density of states at the Fermi level ... 3.01 states/eV/f.u.
Energy relative to the elements, uncorrected ... 0.989 eV per atom

=====

Record 4
Here is an optimized crystal structure of AlInFe3 from Alexandria via LeMat-Bulk. Energies are from PBEsol.

a = 4.286 Å, b = 4.286 Å, c = 4.286 Å
α = 90.00°, β = 90.00°, γ = 90.00°
Positions (direct):
1 Al 0.000 0.000 0.000
2 In 0.500 0.500 0.500
3 Fe 0.000 0.000 0.500
4 Fe 0.000 0.500 0.000
5 Fe 0.500 0.000 0.000

Density of states at the Fermi level ... 9.44 states/eV/f.u.
Formation energy from the elements ... 0.9302 eV per atom

=====

Record 5
Here is an optimized crystal structure of CaMn2W from Alexandria via LeMat-Bulk. Energies are from PBEsol.

a = 3.077 Å, b = 3.077 Å, c = 7.112 Å
α = 90.00°, β = 90.00°, γ = 90.00°
Positions (direct):
1 Ca 0.000 0.000 0.000
2 Mn 0.500 0.500 0.317
3 Mn 0.500 0.500 0.683
4 W 0.000 0.000 0.500

Density of states at the Fermi level ... 4.70 states/eV/f.u.
Relative energy among the computed polymorphs ... 0 meV/atom
Formation energy from the elements ... 0.4656 eV per atom

=====

Record 6
Here is an optimized crystal structure of ReAgSe2O from Alexandria via LeMat-Bulk. Energies are from PBEsol.

a = 4.892 Å, b = 4.892 Å, c = 3.668 Å
α = 90.00°, β = 90.00°, γ = 90.00°
Positions (direct):
1 Re 0.000 0.000 0.000
2 Ag 0.500 0.500 0.000
3 Se 0.000 0.500 0.500
4 Se 0.500 0.000 0.500
5 O 0.000 0.000 0.500

Density of states at the Fermi level ... 5.70 states/eV/f.u.
Energy relative to the elements, uncorrected ... 0.620 eV per atom

=====

Record 7
Here is an optimized crystal structure of MgRe2Te from Alexandria via LeMat-Bulk. Energies are from PBEsol.

a = 4.567 Å, b = 4.567 Å, c = 4.567 Å
α = 60.00°, β = 60.00°, γ = 60.00°
Positions (direct):
1 Mg 0.000 0.000 0.000
2 Re 0.500 0.500 0.500
3 Re 0.750 0.750 0.750
4 Te 0.250 0.250 0.250

Density of states at the Fermi level ... 2.74 states/eV/f.u.
Energy relative to the elements, uncorrected ... 0.692 eV per atom
Relative energy among the computed polymorphs ... 146 meV/atom

=====

Record 8
Here is an optimized crystal structure of La2TaSi from Alexandria via LeMat-Bulk. Energies are from PBEsol.

a = 5.596 Å, b = 5.596 Å, c = 5.596 Å
α = 132.62°, β = 132.62°, γ = 69.25°
Positions (direct):
1 La 0.250 0.750 0.500
2 La 0.750 0.250 0.500
3 Ta 0.000 0.000 0.000
4 Si 0.500 0.500 0.000

Density of states at the Fermi level ... 5.75 states/eV/f.u.
Energy relative to the elements, uncorrected ... 0.241 eV per atom

=====

Record 9
Here is an optimized crystal structure of MnSnPt3 from Alexandria via LeMat-Bulk. Energies are from PBEsol.

a = 4.563 Å, b = 4.563 Å, c = 4.563 Å
α = 90.00°, β = 90.00°, γ = 90.00°
Positions (direct):
1 Mn 0.000 0.000 0.000
2 Sn 0.500 0.500 0.500
3 Pt 0.000 0.000 0.500
4 Pt 0.000 0.500 0.000
5 Pt 0.500 0.000 0.000

Density of states at the Fermi level ... 7.30 states/eV/f.u.
Formation energy from the elements ... 0.7891 eV per atom

=====

Record 10
Here is an optimized crystal structure of Sr2AlAs from Alexandria via LeMat-Bulk. Energies are from PBEsol.

a = 8.395 Å, b = 8.395 Å, c = 8.395 Å
α = 30.71°, β = 30.71°, γ = 30.71°
Positions (direct):
1 Sr 0.234 0.234 0.234
2 Sr 0.766 0.766 0.766
3 Al 0.000 0.000 0.000
4 As 0.500 0.500 0.500

Density of states at the Fermi level ... 3.07 states/eV/f.u.
Relative energy among the computed polymorphs ... 64 meV/atom
Formation energy from the elements ... -0.3397 eV per atom

=====

Record 11
Here is an optimized crystal structure of Zn2AgMo from Alexandria via LeMat-Bulk. Energies are from PBEsol.

a = 4.016 Å, b = 4.016 Å, c = 3.639 Å
α = 90.00°, β = 90.00°, γ = 90.00°
Positions (direct):
1 Zn 0.000 0.500 0.000
2 Zn 0.500 0.000 0.000
3 Ag 0.000 0.000 0.500
4 Mo 0.500 0.500 0.500

Density of states at the Fermi level ... 1.83 states/eV/f.u.
Relative energy among the computed polymorphs ... 148 meV/atom
Formation energy from the elements ... 0.1788 eV per atom

=====

Record 12
Here is an optimized crystal structure of Ir3Os from Alexandria via LeMat-Bulk. Energies are from PBEsol.

a = 2.723 Å, b = 4.376 Å, c = 4.721 Å
α = 90.00°, β = 90.00°, γ = 90.00°
Positions (direct):
1 Ir 0.000 0.000 0.000
2 Ir 0.000 0.500 0.331
3 Ir 0.500 0.000 0.501
4 Os 0.500 0.500 0.832

Density of states at the Fermi level ... 4.08 states/eV/f.u.
Formation energy from the elements ... 0.0549 eV per atom

=====

Record 13
Here is an optimized crystal structure of SrZr3Re from Alexandria via LeMat-Bulk. Energies are from PBEsol.

a = 5.147 Å, b = 5.147 Å, c = 5.147 Å
α = 90.00°, β = 90.00°, γ = 90.00°
Positions (direct):
1 Sr 0.000 0.000 0.000
2 Zr 0.000 0.500 0.500
3 Zr 0.500 0.000 0.500
4 Zr 0.500 0.500 0.000
5 Re 0.500 0.500 0.500

Density of states at the Fermi level ... 8.63 states/eV/f.u.
Formation energy from the elements ... 0.4241 eV per atom

=====

Record 14
Here is an optimized crystal structure of SiTcRu from Alexandria via LeMat-Bulk. Energies are from PBEsol.

a = 5.101 Å, b = 5.101 Å, c = 5.101 Å
α = 147.33°, β = 147.33°, γ = 46.88°
Positions (direct):
1 Si 0.000 0.000 0.000
2 Tc 0.657 0.657 0.000
3 Ru 0.349 0.349 0.000

Density of states at the Fermi level ... 2.19 states/eV/f.u.
Energy relative to the elements, uncorrected ... -0.420 eV per atom

=====

Record 15
Here is an optimized crystal structure of YZrAl2 from Alexandria via LeMat-Bulk. Energies are from PBEsol.

a = 3.142 Å, b = 4.098 Å, c = 6.384 Å
α = 90.00°, β = 90.00°, γ = 90.00°
Positions (direct):
1 Y 0.000 0.000 0.000
2 Zr 0.000 0.000 0.500
3 Al 0.500 0.500 0.277
4 Al 0.500 0.500 0.723

Density of states at the Fermi level ... 3.43 states/eV/f.u.
Relative energy among the computed polymorphs ... 0 meV/atom
Formation energy from the elements ... -0.4013 eV per atom

=====

Record 16
Here is an optimized crystal structure of Sr2Pb3 from Alexandria via LeMat-Bulk. Energies are from PBEsol.

a = 8.233 Å, b = 8.233 Å, c = 4.935 Å
α = 90.00°, β = 90.00°, γ = 90.00°
Positions (direct):
1 Sr 0.172 0.328 0.000
2 Sr 0.328 0.828 0.000
3 Sr 0.672 0.172 0.000
4 Sr 0.828 0.672 0.000
5 Pb 0.000 0.000 0.500
6 Pb 0.130 0.630 0.500
7 Pb 0.370 0.130 0.500
8 Pb 0.500 0.500 0.500
9 Pb 0.630 0.870 0.500
10 Pb 0.870 0.370 0.500

Density of states at the Fermi level ... 2.53 states/eV/f.u.
Formation energy from the elements ... -0.4885 eV per atom

=====

Record 17
Here is an optimized crystal structure of Al2HgAsH from Alexandria via LeMat-Bulk. Energies are from PBEsol.

a = 5.013 Å, b = 5.013 Å, c = 5.194 Å
α = 90.00°, β = 90.00°, γ = 90.00°
Positions (direct):
1 Al 0.000 0.500 0.000
2 Al 0.500 0.000 0.000
3 Hg 0.000 0.000 0.500
4 As 0.000 0.000 0.000
5 H 0.500 0.500 0.500

Density of states at the Fermi level ... 1.77 states/eV/f.u.
Total energy ... -2.463 eV per atom

=====

Record 18
Here is an optimized crystal structure of NbSb2Te2 from Alexandria via LeMat-Bulk. Energies are from PBEsol.

a = 9.886 Å, b = 9.886 Å, c = 9.886 Å
α = 157.08°, β = 157.08°, γ = 32.64°
Positions (direct):
1 Nb 0.000 0.000 0.000
2 Sb 0.425 0.425 0.000
3 Sb 0.575 0.575 0.000
4 Te 0.250 0.750 0.500
5 Te 0.750 0.250 0.500

Density of states at the Fermi level ... 3.12 states/eV/f.u.
Energy relative to the elements, uncorrected ... 0.415 eV per atom

=====

Record 19
Here is an optimized crystal structure of Zn3NiC from Alexandria via LeMat-Bulk. Energies are from PBEsol.

a = 3.979 Å, b = 3.979 Å, c = 3.979 Å
α = 90.00°, β = 90.00°, γ = 90.00°
Positions (direct):
1 Zn 0.000 0.000 0.500
2 Zn 0.000 0.500 0.000
3 Zn 0.500 0.000 0.000
4 Ni 0.500 0.500 0.500
5 C 0.000 0.000 0.000

Density of states at the Fermi level ... 2.82 states/eV/f.u.
Formation energy from the elements ... 0.6642 eV per atom

=====

Record 20
Here is an optimized crystal structure of Ho3Sc2S7 from Alexandria via LeMat-Bulk. Energies are from PBEsol.

a = 6.353 Å, b = 6.353 Å, c = 11.227 Å
α = 103.88°, β = 103.88°, γ = 33.65°
Positions (direct):
1 Ho 0.000 0.000 0.000
2 Ho 0.187 0.187 0.760
3 Ho 0.585 0.585 0.382
4 Sc 0.775 0.775 0.155
5 Sc 0.886 0.886 0.572
6 S 0.153 0.153 0.223
7 S 0.231 0.231 0.524
8 S 0.387 0.387 0.085
9 S 0.540 0.540 0.622
10 S 0.635 0.635 0.931
11 S 0.853 0.853 0.784
12 S 0.918 0.918 0.360

Density of states at the Fermi level ... 1.59 states/eV/f.u.
Energy relative to the elements, uncorrected ... -2.089 eV per atom

=====

Record 21
Here is an optimized crystal structure of Ir2RhCl from Alexandria via LeMat-Bulk. Energies are from PBEsol.

a = 4.668 Å, b = 4.668 Å, c = 2.716 Å
α = 90.00°, β = 90.00°, γ = 105.34°
Positions (direct):
1 Ir 0.000 0.500 0.000
2 Ir 0.500 0.000 0.000
3 Rh 0.000 0.000 0.500
4 Cl 0.500 0.500 0.500

Density of states at the Fermi level ... 4.41 states/eV/f.u.
Energy relative to the elements, uncorrected ... 0.871 eV per atom
Relative energy among the computed polymorphs ... 120 meV/atom

=====

Record 22
Here is an optimized crystal structure of Li2MgCd from Alexandria via LeMat-Bulk. Energies are from PBEsol.

a = 2.998 Å, b = 4.078 Å, c = 6.226 Å
α = 90.00°, β = 90.00°, γ = 90.00°
Positions (direct):
1 Li 0.000 0.000 0.000
2 Li 0.500 0.500 0.247
3 Mg 0.000 0.000 0.508
4 Cd 0.500 0.500 0.773

Density of states at the Fermi level ... 1.44 states/eV/f.u.
Relative energy among the computed polymorphs ... 51 meV/atom
Formation energy from the elements ... -0.1412 eV per atom

=====

Record 23
Here is an optimized crystal structure of GaTcBiTe2 from Alexandria via LeMat-Bulk. Energies are from PBEsol.

a = 5.200 Å, b = 5.200 Å, c = 5.249 Å
α = 90.00°, β = 90.00°, γ = 90.00°
Positions (direct):
1 Ga 0.000 0.000 0.000
2 Tc 0.500 0.500 0.500
3 Bi 0.500 0.500 0.000
4 Te 0.000 0.500 0.500
5 Te 0.500 0.000 0.500

Density of states at the Fermi level ... 4.44 states/eV/f.u.
Energy relative to the elements, uncorrected ... 0.527 eV per atom

=====

Record 24
Here is an optimized crystal structure of NbCoPS2 from Alexandria via LeMat-Bulk. Energies are from PBEsol.

a = 4.269 Å, b = 4.269 Å, c = 4.248 Å
α = 90.00°, β = 90.00°, γ = 90.00°
Positions (direct):
1 Nb 0.000 0.000 0.000
2 Co 0.500 0.500 0.500
3 P 0.500 0.500 0.000
4 S 0.000 0.500 0.500
5 S 0.500 0.000 0.500

Density of states at the Fermi level ... 3.48 states/eV/f.u.
Energy relative to the elements, uncorrected ... 0.299 eV per atom
Relative energy among the computed polymorphs ... 0 meV/atom

=====

Record 25
Here is an optimized crystal structure of HgSbPb from Alexandria via LeMat-Bulk. Energies are from PBEsol.

a = 3.346 Å, b = 3.346 Å, c = 7.626 Å
α = 99.24°, β = 99.24°, γ = 104.38°
Positions (direct):
1 Hg 0.000 0.000 0.000
2 Sb 0.333 0.333 0.679
3 Pb 0.672 0.672 0.335

Density of states at the Fermi level ... 1.39 states/eV/f.u.
Energy relative to the elements, uncorrected ... 0.069 eV per atom
Relative energy among the computed polymorphs ... 10 meV/atom

=====

Record 26
Here is an optimized crystal structure of Li3Rh from Alexandria via LeMat-Bulk. Energies are from PBEsol.

a = 4.201 Å, b = 4.201 Å, c = 4.201 Å
α = 60.00°, β = 60.00°, γ = 60.00°
Positions (direct):
1 Li 0.000 0.000 0.000
2 Li 0.250 0.250 0.250
3 Li 0.750 0.750 0.750
4 Rh 0.500 0.500 0.500

Density of states at the Fermi level ... 1.25 states/eV/f.u.
Formation energy from the elements ... 0.0283 eV per atom

=====

Record 27
Here is an optimized crystal structure of BaZrHg2 from Alexandria via LeMat-Bulk. Energies are from PBEsol.

a = 6.078 Å, b = 6.078 Å, c = 6.078 Å
α = 136.63°, β = 136.63°, γ = 63.01°
Positions (direct):
1 Ba 0.000 0.000 0.000
2 Zr 0.250 0.750 0.500
3 Hg 0.500 0.500 0.000
4 Hg 0.750 0.250 0.500

Density of states at the Fermi level ... 2.91 states/eV/f.u.
Formation energy from the elements ... 0.0790 eV per atom

=====

Record 28
Here is an optimized crystal structure of Cd2SiTc2 from Alexandria via LeMat-Bulk. Energies are from PBEsol.

a = 8.507 Å, b = 8.507 Å, c = 8.507 Å
α = 156.99°, β = 156.99°, γ = 32.77°
Positions (direct):
1 Cd 0.103 0.103 0.000
2 Cd 0.897 0.897 0.000
3 Si 0.500 0.500 0.000
4 Tc 0.250 0.750 0.500
5 Tc 0.750 0.250 0.500

Density of states at the Fermi level ... 2.93 states/eV/f.u.
Energy relative to the elements, uncorrected ... 0.702 eV per atom

=====

Record 29
Here is an optimized crystal structure of BaIrOs2 from Alexandria via LeMat-Bulk. Energies are from PBEsol.

a = 2.862 Å, b = 4.981 Å, c = 5.088 Å
α = 90.00°, β = 90.00°, γ = 90.00°
Positions (direct):
1 Ba 0.000 0.000 0.000
2 Ir 0.500 0.500 0.000
3 Os 0.000 0.500 0.500
4 Os 0.500 0.000 0.500

Density of states at the Fermi level ... 7.31 states/eV/f.u.
Relative energy among the computed polymorphs ... 378 meV/atom
Formation energy from the elements ... 1.4305 eV per atom